{
  "formula": "CuTeIr2",
  "functional": "PBE",
  "state": "relaxed",
  "e_tot_ev_per_atom": -5.828,
  "dos_ef_per_ev_atom": 0.970,
  "vol_a3_per_atom": 16.21,
  "crystal_system": "monoclinic",
  "raw_formation_energy_ev_per_atom": 0.4120,
  "cell": [[4.4489, -1.5310, 0.0000], [4.4489, 1.5310, 0.0000], [-0.9998, 0.0000, 4.7585]],
  "species": ["Cu", "Te", "Ir", "Ir"],
  "fractional_positions": [[0.0000, 0.0000, 0.0000], [0.7632, 0.7632, 0.2883], [0.2566, 0.2566, 0.8233], [0.5073, 0.5073, 0.5364]]
}